Computed, not measured: a relaxed TbErGa2Pt2 crystal at the GGA-PBE level of DFT.

a = 4.4671 Å, b = 4.4671 Å, c = 6.8908 Å
α = 90.00°, β = 90.00°, γ = 120.00°
Space group P-3m1 (No. 164)
One atom of each set of equivalent atoms:
Tb 0.0000 0.0000 0.0000 [1 per cell]
Er 0.0000 0.0000 0.5000 [1 per cell]
Ga 0.3333 0.6667 0.2589 [2 per cell]
Pt 0.3333 0.6667 0.7402 [2 per cell]

Calculated values
- D(E_F) (states/eV/cell) = 3.34
- calculated volume (Å³ per atom) = 19.8
- E (eV/atom) = -5.63
- formation enthalpy at 0 K (eV/atom) = -1.08